Entry 1:
{"formula": "U2PH3", "functional": "PBE-GGA", "state": "optimized geometry", "lattice_angstrom": [[3.684, 0.000, 1.014], [0.946, 5.824, 3.761], [0.058, 0.384, 6.986]], "species": ["U", "U", "U", "U", "P", "P", "H", "H", "H", "H", "H", "H"], "fractional_positions": [[0.500, 0.197, 0.803], [0.500, 0.803, 0.197], [0.816, 0.684, 0.684], [0.184, 0.316, 0.316], [0.862, 0.138, 0.138], [0.138, 0.862, 0.862], [0.321, 0.484, 0.874], [0.000, 0.367, 0.634], [0.679, 0.127, 0.516], [0.321, 0.873, 0.484], [0.000, 0.633, 0.366], [0.679, 0.516, 0.126]], "vol_a3_per_atom": 12.05, "energy_ev_per_cell": -80.7, "crystal_system": "orthorhombic", "magmom_total_mub_per_cell": 6.99}

=====

Entry 2:
{"formula": "U5P4H", "functional": "PBE-GGA", "state": "optimized geometry", "lattice_angstrom": [[-3.655, -4.016, -1.008], [2.525, -5.292, -3.200], [-0.466, -4.587, 4.834]], "species": ["U", "U", "U", "U", "U", "P", "P", "P", "P", "H"], "fractional_positions": [[0.900, 0.381, 0.814], [0.281, 0.814, 0.619], [0.715, 0.186, 0.381], [0.096, 0.619, 0.186], [0.490, 0.000, 0.000], [0.407, 0.396, 0.786], [0.803, 0.786, 0.604], [0.193, 0.214, 0.396], [0.589, 0.604, 0.214], [0.037, 0.000, 0.000]], "vol_a3_per_atom": 20.43, "energy_ev_per_cell": -88.0, "crystal_system": "tetragonal", "magmom_total_mub_per_cell": 12.58}

=====

Entry 3:
{"formula": "U2PH2", "functional": "PBE-GGA", "state": "optimized geometry", "lattice_angstrom": [[5.292, 0.803, 0.848], [3.360, 4.048, 1.292], [0.775, -0.048, 3.722]], "species": ["U", "U", "P", "H", "H"], "fractional_positions": [[0.131, 0.130, 0.369], [0.869, 0.870, 0.631], [0.500, 0.500, 0.000], [0.250, 0.250, 0.750], [0.750, 0.750, 0.250]], "vol_a3_per_atom": 13.60, "energy_ev_per_cell": -36.9, "crystal_system": "tetragonal", "magmom_total_mub_per_cell": 2.63}

=====

Entry 4:
{"formula": "UPH", "functional": "PBE-GGA", "state": "optimized geometry", "lattice_angstrom": [[3.670, 0.000, 0.000], [0.000, 3.793, 0.000], [0.000, -1.897, 3.285]], "species": ["P", "U", "H"], "fractional_positions": [[0.667, 0.333, 0.667], [0.167, 0.667, 0.333], [0.167, 0.000, 0.000]], "vol_a3_per_atom": 15.24, "energy_ev_per_cell": -22.1, "e_above_lowest_polymorph_kj_per_mol_atoms": 0.00, "crystal_system": "hexagonal", "magmom_total_mub_per_cell": 1.96}

=====

Entry 5:
{"formula": "V4PH2", "functional": "PBE-GGA", "state": "optimized geometry", "lattice_angstrom": [[-4.084, -1.157, 0.015], [1.100, -3.900, -1.264], [-1.107, -3.829, 3.721]], "species": ["P", "H", "H", "V", "V", "V", "V"], "fractional_positions": [[0.000, 0.000, 0.000], [0.436, 0.436, 0.128], [0.564, 0.564, 0.872], [0.251, 0.251, 0.498], [0.749, 0.749, 0.502], [0.000, 0.500, 0.000], [0.500, 0.000, 0.000]], "vol_a3_per_atom": 11.72, "energy_ev_per_cell": -46.5, "e_above_lowest_polymorph_kj_per_mol_atoms": 67.68, "crystal_system": "tetragonal", "magmom_total_mub_per_cell": 0.00}

=====

Entry 6:
{"formula": "VPH2", "functional": "PBE-GGA", "state": "optimized geometry", "lattice_angstrom": [[4.202, 0.000, 0.000], [0.000, 4.202, 0.000], [2.101, 2.101, 4.090]], "species": ["P", "P", "V", "V", "H", "H", "H", "H"], "fractional_positions": [[0.500, 0.500, 0.000], [0.250, 0.750, 0.500], [0.000, 0.000, 0.000], [0.750, 0.250, 0.500], [0.683, 0.125, 0.250], [0.067, 0.625, 0.250], [0.375, 0.317, 0.750], [0.875, 0.933, 0.750]], "vol_a3_per_atom": 9.03, "energy_ev_per_cell": -38.7, "e_above_lowest_polymorph_kj_per_mol_atoms": 11.27, "crystal_system": "tetragonal", "magmom_total_mub_per_cell": 0.00}